1.
# CsKCa3, relaxed, DFT PBE-GGA
# Offset from the most stable computed form in eV/atom: 0.000
# Space-group type: Pm-3m (221)
# Energy of formation from the pure elements in eV per formula unit: 3.04
data_CsKCa3
_chemical_formula_sum 'Cs1 K1 Ca3'
_symmetry_space_group_name_H-M 'P 1'
_symmetry_Int_Tables_number 1
_cell_length_a 7.0189
_cell_length_b 7.0189
_cell_length_c 7.0189
_cell_angle_alpha 90.00
_cell_angle_beta 90.00
_cell_angle_gamma 90.00
loop_
_symmetry_equiv_pos_as_xyz
'x,y,z'
loop_
_atom_site_label
_atom_site_type_symbol
_atom_site_fract_x
_atom_site_fract_y
_atom_site_fract_z
Cs1 Cs 0.5000 0.5000 0.5000
K1 K 0.0000 0.0000 0.0000
Ca1 Ca 0.0000 0.5000 0.0000
Ca2 Ca 0.0000 0.0000 0.5000
Ca3 Ca 0.5000 0.0000 0.0000

=====

2.
# Ce6Co2Sn3, relaxed, DFT PBE-GGA
# Space-group type: I4/mmm (139)
# Energy of formation from the pure elements in eV per formula unit: -3.38
data_Ce6Co2Sn3
_chemical_formula_sum 'Ce6 Co2 Sn3'
_symmetry_space_group_name_H-M 'P 1'
_symmetry_Int_Tables_number 1
_cell_length_a 4.9639
_cell_length_b 4.9639
_cell_length_c 13.2436
_cell_angle_alpha 100.80
_cell_angle_beta 100.80
_cell_angle_gamma 90.00
loop_
_symmetry_equiv_pos_as_xyz
'x,y,z'
loop_
_atom_site_label
_atom_site_type_symbol
_atom_site_fract_x
_atom_site_fract_y
_atom_site_fract_z
Co1 Co 0.5955 0.5955 0.1910
Co2 Co 0.4045 0.4045 0.8090
Ce1 Ce 0.2994 0.2994 0.5987
Ce2 Ce 0.5833 0.0833 0.1666
Ce3 Ce 0.4167 0.9167 0.8334
Ce4 Ce 0.0833 0.5833 0.1666
Ce5 Ce 0.9167 0.4167 0.8334
Ce6 Ce 0.7006 0.7006 0.4013
Sn1 Sn 0.8264 0.8264 0.6527
Sn2 Sn 0.0000 0.0000 0.0000
Sn3 Sn 0.1736 0.1736 0.3473

=====

3.
# Rh3Br, relaxed, DFT PBE-GGA
# Offset from the most stable computed form in eV/atom: 0.103
# Space-group type: Cmcm (63)
# Uncorrected formation energy in eV/atom: 0.5828
data_Rh3Br
_chemical_formula_sum 'Rh6 Br2'
_symmetry_space_group_name_H-M 'P 1'
_symmetry_Int_Tables_number 1
_cell_length_a 5.4089
_cell_length_b 5.4089
_cell_length_c 4.4563
_cell_angle_alpha 90.00
_cell_angle_beta 90.00
_cell_angle_gamma 97.00
loop_
_symmetry_equiv_pos_as_xyz
'x,y,z'
loop_
_atom_site_label
_atom_site_type_symbol
_atom_site_fract_x
_atom_site_fract_y
_atom_site_fract_z
Br1 Br 0.3534 0.6466 0.2500
Br2 Br 0.6466 0.3534 0.7500
Rh1 Rh 0.2871 0.1077 0.2500
Rh2 Rh 0.1077 0.2871 0.7500
Rh3 Rh 0.7129 0.8923 0.7500
Rh4 Rh 0.8923 0.7129 0.2500
Rh5 Rh 0.8030 0.1970 0.2500
Rh6 Rh 0.1970 0.8030 0.7500

=====

4.
# Na2HoI5, relaxed, DFT PBE-GGA
# Offset from the most stable computed form in eV/atom: 0.020
# Space-group type: Pnma (62)
# Uncorrected formation energy in eV/atom: -1.2557
data_Na2HoI5
_chemical_formula_sum 'Na8 Ho4 I20'
_symmetry_space_group_name_H-M 'P 1'
_symmetry_Int_Tables_number 1
_cell_length_a 9.0414
_cell_length_b 9.3954
_cell_length_c 13.9517
_cell_angle_alpha 90.00
_cell_angle_beta 90.00
_cell_angle_gamma 90.00
loop_
_symmetry_equiv_pos_as_xyz
'x,y,z'
loop_
_atom_site_label
_atom_site_type_symbol
_atom_site_fract_x
_atom_site_fract_y
_atom_site_fract_z
Na1 Na 0.5251 0.9861 0.1750
Na2 Na 0.4749 0.0139 0.8250
Na3 Na 0.4749 0.4861 0.8250
Na4 Na 0.0251 0.4861 0.3250
Na5 Na 0.5251 0.5139 0.1750
Na6 Na 0.9749 0.9861 0.6750
Na7 Na 0.9749 0.5139 0.6750
Na8 Na 0.0251 0.0139 0.3250
I1 I 0.3707 0.7500 0.3159
I2 I 0.1620 0.5480 0.0817
I3 I 0.1620 0.9520 0.0817
I4 I 0.5586 0.7500 0.9753
I5 I 0.1890 0.2500 0.8018
I6 I 0.9414 0.7500 0.4753
I7 I 0.6293 0.2500 0.6841
I8 I 0.6620 0.4520 0.4183
I9 I 0.0586 0.2500 0.5247
I10 I 0.6620 0.0480 0.4183
I11 I 0.1293 0.7500 0.8159
I12 I 0.4414 0.2500 0.0247
I13 I 0.8707 0.2500 0.1841
I14 I 0.8380 0.0480 0.9183
I15 I 0.3380 0.5480 0.5817
I16 I 0.3380 0.9520 0.5817
I17 I 0.8110 0.7500 0.1982
I18 I 0.6890 0.7500 0.6982
I19 I 0.3110 0.2500 0.3018
I20 I 0.8380 0.4520 0.9183
Ho1 Ho 0.9161 0.7500 0.9903
Ho2 Ho 0.0839 0.2500 0.0097
Ho3 Ho 0.4161 0.2500 0.5097
Ho4 Ho 0.5839 0.7500 0.4903

=====

5.
# LaMn2Ni3, relaxed, DFT PBE-GGA
# Space-group type: P6/mmm (191)
# Energy of formation from the pure elements in eV per formula unit: -0.93
data_LaMn2Ni3
_chemical_formula_sum 'La1 Mn2 Ni3'
_symmetry_space_group_name_H-M 'P 1'
_symmetry_Int_Tables_number 1
_cell_length_a 5.1997
_cell_length_b 5.1997
_cell_length_c 3.9788
_cell_angle_alpha 90.00
_cell_angle_beta 90.00
_cell_angle_gamma 120.00
loop_
_symmetry_equiv_pos_as_xyz
'x,y,z'
loop_
_atom_site_label
_atom_site_type_symbol
_atom_site_fract_x
_atom_site_fract_y
_atom_site_fract_z
Mn1 Mn 0.3333 0.6667 0.0000
Mn2 Mn 0.6667 0.3333 0.0000
Ni1 Ni 0.0000 0.5000 0.5000
Ni2 Ni 0.5000 0.0000 0.5000
Ni3 Ni 0.5000 0.5000 0.5000
La1 La 0.0000 0.0000 0.0000

=====

6.
# Pr6Sn2Te3S, relaxed, DFT PBE-GGA
# Space-group type: C2/m (12)
# Uncorrected formation energy in eV/atom: -1.3213
data_Pr6Sn2Te3S
_chemical_formula_sum 'Pr6 Sn2 Te3 S1'
_symmetry_space_group_name_H-M 'P 1'
_symmetry_Int_Tables_number 1
_cell_length_a 4.4727
_cell_length_b 9.0224
_cell_length_c 10.0729
_cell_angle_alpha 104.00
_cell_angle_beta 102.83
_cell_angle_gamma 90.00
loop_
_symmetry_equiv_pos_as_xyz
'x,y,z'
loop_
_atom_site_label
_atom_site_type_symbol
_atom_site_fract_x
_atom_site_fract_y
_atom_site_fract_z
Pr1 Pr 0.0015 0.2272 0.0031
Pr2 Pr 0.6571 0.0832 0.3142
Pr3 Pr 0.6680 0.5772 0.3359
Pr4 Pr 0.3429 0.9168 0.6858
Pr5 Pr 0.9985 0.7728 0.9969
Pr6 Pr 0.3320 0.4228 0.6641
S1 S 0.5000 0.0000 0.0000
Sn1 Sn 0.1652 0.3298 0.3304
Sn2 Sn 0.8348 0.6702 0.6696
Te1 Te 0.1688 0.8346 0.3376
Te2 Te 0.8312 0.1654 0.6624
Te3 Te 0.5000 0.5000 0.0000

=====

7.
# BaAl3Pt, relaxed, DFT PBE-GGA
# Space-group type: P2_1/c (14)
# Energy of formation from the pure elements in eV per formula unit: -2.88
data_BaAl3Pt
_chemical_formula_sum 'Ba4 Al12 Pt4'
_symmetry_space_group_name_H-M 'P 1'
_symmetry_Int_Tables_number 1
_cell_length_a 6.6282
_cell_length_b 8.4044
_cell_length_c 8.9245
_cell_angle_alpha 108.18
_cell_angle_beta 90.00
_cell_angle_gamma 90.00
loop_
_symmetry_equiv_pos_as_xyz
'x,y,z'
loop_
_atom_site_label
_atom_site_type_symbol
_atom_site_fract_x
_atom_site_fract_y
_atom_site_fract_z
Pt1 Pt 0.2588 0.9248 0.1108
Pt2 Pt 0.7588 0.0752 0.3892
Pt3 Pt 0.7412 0.0752 0.8892
Pt4 Pt 0.2412 0.9248 0.6108
Al1 Al 0.0495 0.6496 0.5798
Al2 Al 0.4759 0.8508 0.3687
Al3 Al 0.5495 0.3504 0.9202
Al4 Al 0.3573 0.0577 0.8985
Al5 Al 0.8573 0.9423 0.6015
Al6 Al 0.1427 0.0577 0.3985
Al7 Al 0.9759 0.1492 0.1313
Al8 Al 0.6427 0.9423 0.1015
Al9 Al 0.0241 0.8508 0.8687
Al10 Al 0.4505 0.6496 0.0798
Al11 Al 0.5241 0.1492 0.6313
Al12 Al 0.9505 0.3504 0.4202
Ba1 Ba 0.0537 0.3515 0.7885
Ba2 Ba 0.9463 0.6485 0.2115
Ba3 Ba 0.5537 0.6485 0.7115
Ba4 Ba 0.4463 0.3515 0.2885

=====

8.
# PrScGa, relaxed, DFT PBE-GGA
# Offset from the most stable computed form in eV/atom: 0.126
# Space-group type: P3m1 (156)
# Energy of formation from the pure elements in eV per formula unit: -0.94
data_PrScGa
_chemical_formula_sum 'Pr1 Sc1 Ga1'
_symmetry_space_group_name_H-M 'P 1'
_symmetry_Int_Tables_number 1
_cell_length_a 3.8644
_cell_length_b 4.8351
_cell_length_c 4.8351
_cell_angle_alpha 120.00
_cell_angle_beta 90.00
_cell_angle_gamma 90.00
loop_
_symmetry_equiv_pos_as_xyz
'x,y,z'
loop_
_atom_site_label
_atom_site_type_symbol
_atom_site_fract_x
_atom_site_fract_y
_atom_site_fract_z
Ga1 Ga 0.1643 0.0000 0.0000
Sc1 Sc 0.1684 0.3333 0.6667
Pr1 Pr 0.6673 0.6667 0.3333

=====

9.
# La6SbIr2Br3, relaxed, DFT PBE-GGA
# Space-group type: C2/m (12)
# Uncorrected formation energy in eV/atom: -1.2468
data_La6SbIr2Br3
_chemical_formula_sum 'La6 Sb1 Ir2 Br3'
_symmetry_space_group_name_H-M 'P 1'
_symmetry_Int_Tables_number 1
_cell_length_a 4.3330
_cell_length_b 9.3358
_cell_length_c 10.0551
_cell_angle_alpha 106.18
_cell_angle_beta 102.44
_cell_angle_gamma 90.00
loop_
_symmetry_equiv_pos_as_xyz
'x,y,z'
loop_
_atom_site_label
_atom_site_type_symbol
_atom_site_fract_x
_atom_site_fract_y
_atom_site_fract_z
La1 La 0.0224 0.2574 0.0447
La2 La 0.6800 0.5576 0.3601
La3 La 0.3297 0.8669 0.6595
La4 La 0.9776 0.7426 0.9553
La5 La 0.6703 0.1331 0.3405
La6 La 0.3200 0.4424 0.6399
Br1 Br 0.8416 0.1603 0.6832
Br2 Br 0.1584 0.8397 0.3168
Br3 Br 0.5000 0.5000 0.0000
Ir1 Ir 0.8298 0.6609 0.6596
Ir2 Ir 0.1702 0.3391 0.3404
Sb1 Sb 0.5000 0.0000 0.0000

=====

10.
# Co2Ge2Pt, relaxed, DFT PBE-GGA
# Offset from the most stable computed form in eV/atom: 0.000
# Space-group type: P4/mbm (127)
# Energy of formation from the pure elements in eV per formula unit: -0.90
data_Co2Ge2Pt
_chemical_formula_sum 'Co4 Ge4 Pt2'
_symmetry_space_group_name_H-M 'P 1'
_symmetry_Int_Tables_number 1
_cell_length_a 6.8829
_cell_length_b 6.8829
_cell_length_c 2.7777
_cell_angle_alpha 90.00
_cell_angle_beta 90.00
_cell_angle_gamma 90.00
loop_
_symmetry_equiv_pos_as_xyz
'x,y,z'
loop_
_atom_site_label
_atom_site_type_symbol
_atom_site_fract_x
_atom_site_fract_y
_atom_site_fract_z
Co1 Co 0.3612 0.1388 0.5000
Co2 Co 0.6388 0.8612 0.5000
Co3 Co 0.1388 0.6388 0.5000
Co4 Co 0.8612 0.3612 0.5000
Ge1 Ge 0.1551 0.3449 0.0000
Ge2 Ge 0.6551 0.1551 0.0000
Ge3 Ge 0.3449 0.8449 0.0000
Ge4 Ge 0.8449 0.6551 0.0000
Pt1 Pt 0.5000 0.5000 0.0000
Pt2 Pt 0.0000 0.0000 0.0000

=====

For reference, calculated total energy by record: -0.98; -5.93; -5.35; -3.13; -6.92; -5.51; -4.41; -5.03; -5.95; -6.08 eV/atom.